#1
Computed, not measured: Nd4Sm2In after structural relaxation at the PBE level of DFT.

Lattice parameters (Å, degrees): 6.7679 6.7664 12.4242 96.87 96.97 123.96
Sites, in units of the cell vectors:
In 0.7751 0.7806 0.9996
In 0.0308 0.5253 0.4997
Nd 0.9951 0.0156 0.5745
Nd 0.4980 0.6614 0.7083
Nd 0.6636 0.1971 0.9259
Nd 0.0392 0.7060 0.7920
Nd 0.9116 0.2478 0.2080
Nd 0.4468 0.4142 0.4260
Nd 0.9562 0.7891 0.2921
Nd 0.2656 0.7448 0.0745
Sm 0.1683 0.2735 0.8667
Sm 0.4092 0.3157 0.1332
Sm 0.5244 0.9199 0.3666
Sm 0.5661 0.1591 0.6331

Crystal system   triclinic
Space group   P1 (1)
Calculated volume   228.06 Å³/f.u.
Spin magnetization   0.000 Bohr magnetons per cell

=====

#2
Computed, not measured: Nd4Sm2In after structural relaxation at the PBE level of DFT.

Lattice parameters (Å, degrees): 3.6989 3.6989 20.1684 84.74 84.74 60.00
Sites, in units of the cell vectors:
Nd 0.7094 0.7094 0.8718
Nd 0.0930 0.0930 0.7209
Nd 0.2906 0.2906 0.1282
Nd 0.9070 0.9070 0.2791
Sm 0.1909 0.1909 0.4273
Sm 0.8091 0.8091 0.5727
In 0.0000 0.0000 0.0000

Crystal system   trigonal
Space group   R-3m (166)
Calculated volume   237.63 Å³/f.u.
Spin magnetization   0.000 Bohr magnetons per cell

=====

The most stable arrangement is #1, and the next structure is 35 meV per atom less stable.

=====

#1
Computed, not measured: Nd2Sm3In4 after structural relaxation at the PBE level of DFT.

Lattice parameters (Å, degrees): 7.2274 9.3979 9.0275 90.00 113.60 90.00
Sites, in units of the cell vectors:
Sm 0.0294 0.7500 0.5588
Sm 0.9706 0.2500 0.4412
Sm 0.5000 0.5000 0.0000
Sm 0.4706 0.2500 0.4412
Sm 0.5294 0.7500 0.5588
Sm 0.0000 0.0000 0.0000
In 0.8138 0.0325 0.6275
In 0.1862 0.9675 0.3725
In 0.2806 0.2500 0.0613
In 0.7806 0.2500 0.0613
In 0.3138 0.4675 0.6275
In 0.2194 0.7500 0.9387
In 0.7194 0.7500 0.9387
In 0.6862 0.5325 0.3725
Nd 0.8920 0.4297 0.7840
Nd 0.6080 0.9297 0.2160
Nd 0.1080 0.5703 0.2160
Nd 0.3920 0.0703 0.7840

Crystal system   orthorhombic
Space group   Cmce (64)
Calculated volume   280.95 Å³/f.u.
Spin magnetization   0.000 Bohr magnetons per cell

=====

#2
Computed, not measured: Nd2Sm3In4 after structural relaxation at the PBE level of DFT.

Lattice parameters (Å, degrees): 5.4115 5.4035 10.4807 90.14 90.00 59.95
Sites, in units of the cell vectors:
Sm 0.3335 0.3329 0.4234
Sm 0.0000 0.0000 0.0000
Sm 0.6665 0.6671 0.5766
Nd 0.3328 0.3345 0.7798
Nd 0.6672 0.6655 0.2202
In 0.9997 0.0005 0.6500
In 0.6661 0.6677 0.8996
In 0.0003 0.9995 0.3500
In 0.3339 0.3323 0.1004

Crystal system   monoclinic
Space group   C2/m (12)
Calculated volume   265.28 Å³/f.u.
Spin magnetization   0.000 Bohr magnetons per cell

=====

The most stable arrangement is #2, and the next structure is 122 meV per atom less stable.